[1]
AlInRe2: optimized geometry, GGA-PBE.

Unit cell a=4.4838 b=4.4838 c=4.4838 alpha=60.00 beta=60.00 gamma=60.00
Closest atoms and distances in Å follow each position.
Positions (direct):
Al 0.0000 0.0000 0.0000  8 Re 2.75
Re 0.2500 0.2500 0.2500  4 Al 2.75, 4 In 2.75
Re 0.7500 0.7500 0.7500  4 In 2.75, 4 Al 2.75
In 0.5000 0.5000 0.5000  8 Re 2.75

Calculated values
As for the space-group type: Fm-3m (225). The calculation puts the polymorph energy (0 for the lowest one) at 397.1 meV per atom. For the formation energy from the elements, the calculation gives 48.17 kJ/mol of atoms. The mass density is 13.40 g/cm³.

---

[2]
LiB2: optimized geometry, GGA-PBE.

Unit cell a=2.5470 b=5.6142 c=3.7623 alpha=90.00 beta=90.00 gamma=90.00
Closest atoms and distances in Å follow each position.
Positions (direct):
B 0.0000 0.6476 0.0000  3 B 1.66-1.72
B 0.5000 0.8524 0.0000  3 B 1.66-1.72
B 0.5000 0.1476 0.0000  3 B 1.66-1.72
B 0.0000 0.3524 0.0000  3 B 1.66-1.72
Li 0.0000 0.0000 0.5000  8 B 2.42, 2 Li 2.55
Li 0.5000 0.5000 0.5000  8 B 2.42, 2 Li 2.55

Calculated values
As for the space-group type: Cmmm (65). The calculation puts the polymorph energy (0 for the lowest one) at 108.7 meV per atom. For the formation energy from the elements, the calculation gives 0.24 kJ/mol of atoms. The mass density is 1.76 g/cm³.

---

[3]
LaInW2: optimized geometry, GGA-PBE.

Unit cell a=3.0201 b=3.0201 c=10.0964 alpha=90.00 beta=90.00 gamma=113.34
Closest atoms and distances in Å follow each position.
Positions (direct):
La 0.5000 0.5000 0.7685  6 La 3.02-3.32, 2 W 3.15
W 0.5000 0.5000 0.2276  2 W 2.57
W 0.0000 0.0000 0.0336  2 W 2.57
In 0.0000 0.0000 0.4703  2 W 2.96, 4 In 3.02

Calculated values
As for the space-group type: Cmm2 (35). For the formation energy from the elements, the calculation gives 39.79 kJ/mol of atoms. The mass density is 12.20 g/cm³.

---

[4]
NaHoIn2Br6: optimized geometry, GGA-PBE.

Unit cell a=7.9119 b=7.9112 c=8.0407 alpha=60.53 beta=60.52 gamma=59.99
Closest atoms and distances in Å follow each position.
Positions (direct):
In 0.0274 0.0275 0.9173  6 Br 3.32-3.36
In 0.5332 0.5332 0.4007  6 Br 3.32-3.43
Br 0.9991 0.5740 0.2629  1 Ho 2.79, 1 Na 3.08
Br 0.1024 0.4683 0.7740  1 Ho 2.82, 1 Na 2.97
Br 0.4683 0.6554 0.7740  1 Ho 2.82, 1 Na 2.97
Br 0.5741 0.1640 0.2628  1 Ho 2.79, 1 Na 3.08
Br 0.6554 0.1024 0.7739  1 Ho 2.82, 1 Na 2.97
Br 0.1640 0.9991 0.2628  1 Ho 2.79, 1 Na 3.08
Ho 0.3218 0.3217 0.0347  6 Br 2.79-2.82
Na 0.8160 0.8160 0.5520  6 Br 2.97-3.08

Calculated values
The uncorrected formation energy comes out at -1.327 eV per atom. As for the space-group type: R3 (146). The mass density is 4.15 g/cm³.

---

[5]
Cd2Cl: optimized geometry, GGA-PBE.

Unit cell a=10.8672 b=10.8672 c=10.8672 alpha=159.18 beta=159.18 gamma=29.61
Closest atoms and distances in Å follow each position.
Positions (direct):
Cl 0.7500 0.2500 0.5000  8 Cd 3.18
Cl 0.0000 0.0000 0.0000  8 Cd 3.18
Cd 0.4264 0.4264 0.0000  3 Cd 2.92-3.09, 4 Cl 3.18
Cd 0.5736 0.5736 0.0000  3 Cd 2.92-3.09, 4 Cl 3.18
Cd 0.1764 0.6764 0.5000  3 Cd 2.92-3.09, 4 Cl 3.18
Cd 0.3236 0.8236 0.5000  3 Cd 2.92-3.09, 4 Cl 3.18

Calculated values
The uncorrected formation energy comes out at -0.264 eV per atom. As for the space-group type: I4_1/amd (141). The mass density is 5.33 g/cm³.

---

[6]
SrCaSb2: optimized geometry, GGA-PBE.

Unit cell a=6.6642 b=6.6642 c=6.6642 alpha=139.32 beta=139.32 gamma=58.88
Closest atoms and distances in Å follow each position.
Positions (direct):
Sb 0.2500 0.7500 0.5000  4 Ca 3.28
Sb 0.0000 0.0000 0.0000  4 Sr 3.28
Sr 0.5000 0.5000 0.0000  4 Sb 3.28
Ca 0.7500 0.2500 0.5000  4 Sb 3.28

Calculated values
The uncorrected formation energy comes out at -0.761 eV per atom. As for the space-group type: I-4m2 (119). The calculation puts the polymorph energy (0 for the lowest one) at 62.6 meV per atom. The mass density is 4.95 g/cm³.

---

[7]
Sc4GaAu: optimized geometry, GGA-PBE.

Unit cell a=4.6261 b=4.6262 c=6.6824 alpha=90.00 beta=90.00 gamma=90.00
Closest atoms and distances in Å follow each position.
Positions (direct):
Sc 0.0013 0.4973 0.7502  2 Au 2.85, 2 Ga 2.86
Sc 0.5013 0.9973 0.7502  2 Au 2.84-2.85, 2 Ga 2.86
Sc 0.0013 0.4973 0.2461  2 Au 2.85, 2 Ga 2.86
Sc 0.5013 0.9973 0.2461  2 Au 2.85, 2 Ga 2.86
Ga 0.0013 0.9972 0.4981  8 Sc 2.86
Au 0.5013 0.4973 0.9981  8 Sc 2.84-2.85

Calculated values
As for the space-group type: P4/mmm (123). For the formation energy from the elements, the calculation gives -32.86 kJ/mol of atoms. The mass density is 5.18 g/cm³.

---

[8]
Sm2SbPd: optimized geometry, GGA-PBE.

Unit cell a=3.9232 b=5.1247 c=5.1247 alpha=90.00 beta=90.00 gamma=90.00
Closest atoms and distances in Å follow each position.
Positions (direct):
Sm 0.0000 0.5000 0.0000  4 Sb 3.23, 4 Pd 3.23
Sm 0.0000 0.0000 0.5000  4 Pd 3.23, 4 Sb 3.23
Sb 0.5000 0.5000 0.5000  8 Sm 3.23
Pd 0.5000 0.0000 0.0000  8 Sm 3.23

Calculated values
The uncorrected formation energy comes out at -0.802 eV per atom. As for the space-group type: P4/mmm (123). The mass density is 8.52 g/cm³.

---

no.,E_tot (eV/atom)
1,-7.3451
2,-5.0871
3,-7.9806
4,-3.4684
5,-1.4895
6,-3.7431
7,-5.6123
8,-5.4904